Entry 1:
First-principles (PBE) data for a relaxed structure of TbSnPd4, as listed in Alexandria via LeMat-Bulk.

Cell: 5.3959 5.3959 5.3959 Å, 60.00 60.00 60.00°
Closest atoms and distances in Å follow each position.
Atoms (fractional coordinates):
Tb (0.2500, 0.2500, 0.2500)  12 Pd 3.16, 4 Sn 3.30
Sn (0.0000, 0.0000, 0.0000)  12 Pd 3.16, 4 Tb 3.30
Pd (0.6252, 0.6252, 0.1245)  6 Pd 2.69-2.70
Pd (0.6252, 0.1245, 0.6252)  6 Pd 2.69-2.70
Pd (0.6252, 0.6252, 0.6252)  6 Pd 2.69-2.70
Pd (0.1245, 0.6252, 0.6252)  6 Pd 2.69-2.70

Values from the calculation:
The calculation puts the energy above the most stable polymorph in this dataset at 55.8 meV per atom. The density comes out at 10.51 g/cm³. The calculation puts the formation energy at -615 meV per atom. Its space group is F-43m, No. 216.

Entry 2:
First-principles (PBE) data for a relaxed structure of Sm2Er2In3, as listed in Alexandria via LeMat-Bulk.

Cell: 3.6232 7.7357 8.3542 Å, 117.32 90.00 103.54°
Closest atoms and distances in Å follow each position.
Atoms (fractional coordinates):
Sm (0.8695, 0.7390, 0.1790)  6 In 3.36-3.48, 3 Er 3.54-3.73, 2 Sm 3.62
Sm (0.1305, 0.2610, 0.8210)  6 In 3.36-3.48, 3 Er 3.54-3.73, 2 Sm 3.62
Er (0.8135, 0.6270, 0.7168)  5 In 3.14-3.24
Er (0.1865, 0.3730, 0.2832)  5 In 3.14-3.24
In (0.5000, 0.0000, 0.0000)  4 Er 3.24, 4 In 3.36-3.62, 4 Sm 3.48
In (0.5811, 0.1621, 0.4501)  1 In 2.93, 3 Er 3.14
In (0.4189, 0.8379, 0.5499)  1 In 2.93, 3 Er 3.14

Values from the calculation:
The calculation puts the energy above the most stable polymorph in this dataset at 0.0 meV per atom. The density comes out at 8.11 g/cm³. The calculation puts the formation energy at -348 meV per atom. Its space group is C2/m, No. 12.

Entry 3:
First-principles (PBE) data for a relaxed structure of HfSeO2F, as listed in Alexandria via LeMat-Bulk.

Cell: 4.1514 4.1514 4.1640 Å, 90.00 90.00 90.00°
Closest atoms and distances in Å follow each position.
Atoms (fractional coordinates):
Hf (0.0000, 0.0000, 0.0000)  4 O 2.08, 2 F 2.08
O (0.0000, 0.5000, 0.0000)  2 Hf 2.08
O (0.5000, 0.0000, 0.0000)  2 Hf 2.08
Se (0.5000, 0.5000, 0.5000)  4 F 2.94, 8 O 2.94
F (0.0000, 0.0000, 0.5000)  2 Hf 2.08

Values from the calculation:
Its uncorrected formation energy is -1.926 eV/atom. The density comes out at 7.14 g/cm³. Its space group is P4/mmm, No. 123.

Entry 4:
First-principles (PBE) data for a relaxed structure of TaCrCo2H, as listed in Alexandria via LeMat-Bulk.

Cell: 3.6430 3.6430 3.9303 Å, 90.00 90.00 90.00°
Closest atoms and distances in Å follow each position.
Atoms (fractional coordinates):
Cr (0.5000, 0.5000, 0.5000)  4 Ta 2.58, 8 Co 2.68
Co (0.0000, 0.5000, 0.0000)  2 H 1.82
Co (0.5000, 0.0000, 0.0000)  2 H 1.82
H (0.0000, 0.0000, 0.0000)  4 Co 1.82, 2 Ta 1.97
Ta (0.0000, 0.0000, 0.5000)  2 H 1.97

Values from the calculation:
The calculation puts the energy above the most stable polymorph in this dataset at 69.4 meV per atom. The density comes out at 11.20 g/cm³. Its space group is P4/mmm, No. 123.

Entry 5:
First-principles (PBE) data for a relaxed structure of Ta2SbAs, as listed in Alexandria via LeMat-Bulk.

Cell: 5.2135 5.2135 5.2135 Å, 132.38 132.38 69.63°
Closest atoms and distances in Å follow each position.
Atoms (fractional coordinates):
Sb (0.7500, 0.2500, 0.5000)  8 Ta 2.98-3.00, 4 As 3.00
As (0.5000, 0.5000, 0.0000)  8 Ta 2.98-3.00, 4 Sb 3.00
Ta (0.0000, 0.0000, 0.0000)  4 As 2.98, 4 Sb 3.00, 4 Ta 3.00
Ta (0.2500, 0.7500, 0.5000)  4 Sb 2.98, 4 As 3.00, 4 Ta 3.00

Values from the calculation:
Its uncorrected formation energy is 0.274 eV/atom. The density comes out at 12.23 g/cm³. Its space group is I-4m2, No. 119.

Entry 6:
First-principles (PBE) data for a relaxed structure of Mo3Ru, as listed in Alexandria via LeMat-Bulk.

Cell: 5.4587 5.4587 4.3648 Å, 90.00 90.00 108.18°
Closest atoms and distances in Å follow each position.
Atoms (fractional coordinates):
Mo (0.3651, 0.1127, 0.7500)  4 Ru 2.64-2.83, 4 Mo 2.67-2.76
Mo (0.8664, 0.1336, 0.7500)  8 Mo 2.67-2.76
Mo (0.1127, 0.3651, 0.2500)  4 Ru 2.64-2.83, 4 Mo 2.67-2.76
Mo (0.8873, 0.6349, 0.7500)  4 Ru 2.64-2.83, 4 Mo 2.67-2.76
Mo (0.1336, 0.8664, 0.2500)  8 Mo 2.67-2.76
Mo (0.6349, 0.8873, 0.2500)  4 Ru 2.64-2.83, 4 Mo 2.67-2.76
Ru (0.6052, 0.3948, 0.2500)  8 Mo 2.64-2.83, 2 Ru 2.87
Ru (0.3948, 0.6052, 0.7500)  8 Mo 2.64-2.83, 2 Ru 2.87

Values from the calculation:
The density comes out at 10.45 g/cm³. The calculation puts the formation energy at 114 meV per atom. Its space group is Cmcm, No. 63.

Entry 7:
First-principles (PBE) data for a relaxed structure of Sr2Tl2Bi, as listed in Alexandria via LeMat-Bulk.

Cell: 9.3162 9.3162 4.2376 Å, 90.00 90.00 90.00°
Closest atoms and distances in Å follow each position.
Atoms (fractional coordinates):
Sr (0.3312, 0.8312, 0.0000)  6 Tl 3.36-3.54, 2 Bi 3.46
Sr (0.8312, 0.6688, 0.0000)  6 Tl 3.36-3.54, 2 Bi 3.46
Sr (0.6688, 0.1688, 0.0000)  6 Tl 3.36-3.54, 2 Bi 3.46
Sr (0.1688, 0.3312, 0.0000)  6 Tl 3.36-3.54, 2 Bi 3.46
Tl (0.1333, 0.6333, 0.5000)  6 Sr 3.36-3.54, 1 Tl 3.51
Tl (0.6333, 0.8667, 0.5000)  6 Sr 3.36-3.54, 1 Tl 3.51
Tl (0.8667, 0.3667, 0.5000)  6 Sr 3.36-3.54, 1 Tl 3.51
Tl (0.3667, 0.1333, 0.5000)  6 Sr 3.36-3.54, 1 Tl 3.51
Bi (0.0000, 0.0000, 0.0000)  4 Sr 3.46
Bi (0.5000, 0.5000, 0.0000)  4 Sr 3.46

Values from the calculation:
The calculation puts the energy above the most stable polymorph in this dataset at 183.2 meV per atom. The density comes out at 7.16 g/cm³. The calculation puts the formation energy at -249 meV per atom. Its space group is P4/mbm, No. 127.

Entry 8:
First-principles (PBE) data for a relaxed structure of ErSN, as listed in Alexandria via LeMat-Bulk.

Cell: 3.3918 6.5038 6.6075 Å, 107.48 90.00 105.11°
Closest atoms and distances in Å follow each position.
Atoms (fractional coordinates):
S (0.6267, 0.2534, 0.3258)  1 N 1.85
S (0.3733, 0.7466, 0.6742)  1 N 1.85
Er (0.0000, 0.0000, 0.5000)  4 N 2.39
Er (0.0000, 0.0000, 0.0000)  4 N 2.39
N (0.4716, 0.9432, 0.2328)  1 S 1.85
N (0.5284, 0.0568, 0.7672)  1 S 1.85

Values from the calculation:
The calculation puts the energy above the most stable polymorph in this dataset at 426.6 meV per atom. Its uncorrected formation energy is -0.971 eV/atom. The density comes out at 5.30 g/cm³. Its space group is C2/m, No. 12.

Entry 9:
First-principles (PBE) data for a relaxed structure of NbPd, as listed in Alexandria via LeMat-Bulk.

Cell: 10.7512 4.4303 5.6363 Å, 90.00 90.00 90.00°
Closest atoms and distances in Å follow each position.
Atoms (fractional coordinates):
Nb (0.3278, 0.2500, 0.6595)  7 Pd 2.64-2.85, 2 Nb 2.88
Nb (0.8278, 0.2500, 0.8405)  7 Pd 2.64-2.85, 2 Nb 2.88
Nb (0.6722, 0.7500, 0.3405)  7 Pd 2.64-2.85, 2 Nb 2.88
Nb (0.1722, 0.7500, 0.1595)  7 Pd 2.64-2.85, 2 Nb 2.88
Nb (0.0546, 0.2500, 0.3981)  3 Pd 2.69-2.86, 4 Nb 2.76-2.88
Nb (0.5546, 0.2500, 0.1019)  3 Pd 2.69-2.86, 4 Nb 2.76-2.88
Nb (0.9454, 0.7500, 0.6019)  3 Pd 2.69-2.86, 4 Nb 2.76-2.88
Nb (0.4454, 0.7500, 0.8981)  3 Pd 2.69-2.86, 4 Nb 2.76-2.88
Pd (0.3059, 0.2500, 0.1574)  5 Nb 2.64-2.84, 3 Pd 2.85-2.86
Pd (0.8059, 0.2500, 0.3426)  5 Nb 2.64-2.84, 3 Pd 2.85-2.86
Pd (0.6941, 0.7500, 0.8426)  5 Nb 2.64-2.84, 3 Pd 2.85-2.86
Pd (0.1941, 0.7500, 0.6574)  5 Nb 2.64-2.84, 3 Pd 2.85-2.86
Pd (0.0799, 0.2500, 0.8932)  6 Nb 2.73-2.97, 5 Pd 2.85-3.05
Pd (0.5799, 0.2500, 0.6068)  6 Nb 2.73-2.97, 5 Pd 2.85-3.05
Pd (0.9201, 0.7500, 0.1068)  6 Nb 2.73-2.97, 5 Pd 2.85-3.05
Pd (0.4201, 0.7500, 0.3932)  6 Nb 2.73-2.97, 5 Pd 2.85-3.05

Values from the calculation:
The density comes out at 9.86 g/cm³. The calculation puts the formation energy at -233 meV per atom. Its space group is Pnma, No. 62.

Entry 10:
First-principles (PBE) data for a relaxed structure of Ce3Ga5Pd2, as listed in Alexandria via LeMat-Bulk.

Cell: 6.2277 8.8951 8.8951 Å, 76.63 69.51 69.51°
Closest atoms and distances in Å follow each position.
Atoms (fractional coordinates):
Ce (0.2500, 0.0000, 0.0000)  4 Pd 2.85, 2 Ce 3.11, 2 Ga 3.15
Ce (0.7500, 0.0000, 0.0000)  4 Pd 2.85, 2 Ce 3.11, 2 Ga 3.15
Ce (0.3694, 0.3975, 0.8637)  1 Pd 2.99, 5 Ga 3.30-3.35
Ce (0.6306, 0.6025, 0.1363)  1 Pd 2.99, 5 Ga 3.30-3.35
Ce (0.8694, 0.8637, 0.3975)  1 Pd 2.99, 5 Ga 3.30-3.35
Ce (0.1306, 0.1363, 0.6025)  1 Pd 2.99, 5 Ga 3.30-3.35
Ga (0.2500, 0.5000, 0.5000)  4 Ga 2.63
Ga (0.7500, 0.5000, 0.5000)  4 Ga 2.63
Ga (0.5019, 0.7481, 0.7481)  2 Pd 2.60, 2 Ga 2.69
Ga (0.9981, 0.2519, 0.2519)  2 Pd 2.60, 2 Ga 2.69
Ga (0.4981, 0.2519, 0.2519)  2 Pd 2.60, 2 Ga 2.69
Ga (0.0019, 0.7481, 0.7481)  2 Pd 2.60, 2 Ga 2.69
Ga (0.1197, 0.5158, 0.2447)  1 Pd 2.46, 4 Ga 2.63-2.69
Ga (0.8803, 0.4842, 0.7553)  1 Pd 2.46, 4 Ga 2.63-2.69
Ga (0.6197, 0.2447, 0.5158)  1 Pd 2.46, 4 Ga 2.63-2.69
Ga (0.3803, 0.7553, 0.4842)  1 Pd 2.46, 4 Ga 2.63-2.69
Pd (0.1436, 0.7133, 0.9994)  3 Ga 2.46-2.60
Pd (0.8564, 0.2867, 0.0006)  3 Ga 2.46-2.60
Pd (0.6436, 0.9994, 0.7133)  3 Ga 2.46-2.60
Pd (0.3564, 0.0006, 0.2867)  3 Ga 2.46-2.60

Values from the calculation:
The density comes out at 7.60 g/cm³. The calculation puts the formation energy at -523 meV per atom. Its space group is Ibam, No. 72.

Entry 11:
First-principles (PBE) data for a relaxed structure of Y2HgOs, as listed in Alexandria via LeMat-Bulk.

Cell: 4.0959 4.0959 8.0622 Å, 80.41 80.41 50.98°
Closest atoms and distances in Å follow each position.
Atoms (fractional coordinates):
Hg (0.7500, 0.7500, 0.7500)  6 Y 3.24-3.27, 2 Hg 3.53
Os (0.2500, 0.2500, 0.2500)  6 Y 2.73-2.82
Y (0.9935, 0.9935, 0.0454)  3 Os 2.73-2.82
Y (0.5065, 0.5065, 0.4546)  3 Os 2.73-2.82

Values from the calculation:
The density comes out at 9.14 g/cm³. The calculation puts the formation energy at -101 meV per atom. Its space group is C2/m, No. 12.

Entry 12:
First-principles (PBE) data for a relaxed structure of InIr2Se4, as listed in Alexandria via LeMat-Bulk.

Cell: 6.7949 6.6841 8.1447 Å, 112.78 113.22 93.19°
Closest atoms and distances in Å follow each position.
Atoms (fractional coordinates):
In (0.7294, 0.2294, 0.4588)  4 Se 2.70-2.80
In (0.0206, 0.0206, 0.0412)  4 Se 2.70-2.80
Ir (0.3750, 0.1250, 0.7500)  4 Se 2.44
Ir (0.3750, 0.6250, 0.7500)  4 Se 2.44
Ir (0.3750, 0.6250, 0.2500)  4 Se 2.43-2.45
Ir (0.8750, 0.6250, 0.2500)  4 Se 2.43-2.45
Se (0.3564, 0.0072, 0.4197)  2 Ir 2.43-2.44, 1 In 2.70
Se (0.6868, 0.8375, 0.0803)  2 Ir 2.43-2.44, 1 In 2.70
Se (0.5925, 0.6269, 0.5732)  2 Ir 2.44-2.45
Se (0.7693, 0.3037, 0.9268)  2 Ir 2.44-2.45
Se (0.9807, 0.9463, 0.5732)  2 Ir 2.44-2.45
Se (0.1575, 0.6231, 0.9268)  2 Ir 2.44-2.45
Se (0.0632, 0.4125, 0.4197)  2 Ir 2.43-2.44, 1 In 2.70
Se (0.3936, 0.2428, 0.0803)  2 Ir 2.43-2.44, 1 In 2.70

Values from the calculation:
Its uncorrected formation energy is -0.039 eV/atom. The density comes out at 8.91 g/cm³. Its space group is C2/c, No. 15.

Number 5 is which compound?
Ta2SbAs

What is the formula in the eleventh record?
Y2HgOs